K3Y2PdO6 | PBE | optimized geometry

Calculated values
**Size of the total moment**: 1.0 μB per formula unit
**Fermi-level density of states**: 0.0 states/eV/f.u.
**Formation energy without anion corrections**: -2.039 eV per atom

a b c (Å): 5.865 10.313 6.500
angles (deg): 90.00 106.77 90.00
Space group C2/m (No. 12)
One atom of each set of equivalent atoms:
1 K 0.000 0.000 0.000 (multiplicity 2)
2 K 0.000 0.340 0.000 (multiplicity 4)
3 Y 0.000 0.169 0.500 (multiplicity 4)
4 Pd 0.000 0.500 0.500 (multiplicity 2)
5 O 0.234 0.331 0.697 (multiplicity 8)
6 O 0.247 0.000 0.675 (multiplicity 4)